# 1
A relaxed structure of Ga3Fe8, computed with PBE.

Cell and atoms, written as CIF:
```
data_Ga3Fe8
_chemical_formula_sum 'Ga9 Fe24'
_symmetry_space_group_name_H-M 'R -3 m'
_symmetry_Int_Tables_number 166
_symmetry_space_group_name_Hall '-R 3 2"'
_cell_length_a 7.3745
_cell_length_b 7.3745
_cell_length_c 10.3377
_cell_angle_alpha 90.00
_cell_angle_beta 90.00
_cell_angle_gamma 120.00
loop_
_atom_site_label
_atom_site_type_symbol
_atom_site_fract_x
_atom_site_fract_y
_atom_site_fract_z
Ga1 Ga 0.0000 0.5000 0.0000
Fe1 Fe 0.0000 0.0000 0.3968
Fe2 Fe 0.0863 0.5432 0.7577
```

Properties
Energy of formation = 0.457 eV/atom
Fermi-level density of states = 9.448 states/eV/f.u.
Crystal system = trigonal

***

# 2
A relaxed structure of LiIn2Bi, computed with PBE.

Cell and atoms, written as CIF:
```
data_LiIn2Bi
_chemical_formula_sum 'Li3 In6 Bi3'
_symmetry_space_group_name_H-M 'R -3 m'
_symmetry_Int_Tables_number 166
_symmetry_space_group_name_Hall '-R 3 2"'
_cell_length_a 4.9065
_cell_length_b 4.9065
_cell_length_c 19.5956
_cell_angle_alpha 90.00
_cell_angle_beta 90.00
_cell_angle_gamma 120.00
loop_
_atom_site_label
_atom_site_type_symbol
_atom_site_fract_x
_atom_site_fract_y
_atom_site_fract_z
Li1 Li 0.0000 0.0000 0.0000
In1 In 0.0000 0.0000 0.3496
Bi1 Bi 0.0000 0.0000 0.5000
```

Properties
Energy of formation = 0.204 eV/atom
Fermi-level density of states = 2.680 states/eV/f.u.
Crystal system = trigonal

***

# 3
A relaxed structure of ScZn2B2Rh5, computed with PBE.

Cell and atoms, written as CIF:
```
data_ScZn2B2Rh5
_chemical_formula_sum 'Sc2 Zn4 B4 Rh10'
_symmetry_space_group_name_H-M 'P 4/m b m'
_symmetry_Int_Tables_number 127
_symmetry_space_group_name_Hall '-P 4 2ab'
_cell_length_a 9.5205
_cell_length_b 9.5205
_cell_length_c 2.9465
_cell_angle_alpha 90.00
_cell_angle_beta 90.00
_cell_angle_gamma 90.00
loop_
_atom_site_label
_atom_site_type_symbol
_atom_site_fract_x
_atom_site_fract_y
_atom_site_fract_z
Sc1 Sc 0.0000 0.0000 0.0000
Zn1 Zn 0.1787 0.3213 0.0000
B1 B 0.1237 0.6237 0.0000
Rh1 Rh 0.0000 0.5000 0.5000
Rh2 Rh 0.0716 0.7789 0.5000
```

Properties
Energy of formation = -0.436 eV/atom
Fermi-level density of states = 2.564 states/eV/f.u.
Crystal system = tetragonal

***

# 4
A relaxed structure of SrScAu4, computed with PBE.

Cell and atoms, written as CIF:
```
data_SrScAu4
_chemical_formula_sum 'Sr4 Sc4 Au16'
_symmetry_space_group_name_H-M 'F -4 3 m'
_symmetry_Int_Tables_number 216
_symmetry_space_group_name_Hall 'F -4 2 3'
_cell_length_a 8.0463
_cell_length_b 8.0463
_cell_length_c 8.0463
_cell_angle_alpha 90.00
_cell_angle_beta 90.00
_cell_angle_gamma 90.00
loop_
_atom_site_label
_atom_site_type_symbol
_atom_site_fract_x
_atom_site_fract_y
_atom_site_fract_z
Sr1 Sr 0.0000 0.0000 0.0000
Sc1 Sc 0.2500 0.2500 0.2500
Au1 Au 0.1246 0.1246 0.6246
```

Properties
Energy of formation = -0.418 eV/atom
Fermi-level density of states = 7.145 states/eV/f.u.
Crystal system = cubic

***

# 5
A relaxed structure of La2TiAu2, computed with PBE.

Cell and atoms, written as CIF:
```
data_La2TiAu2
_chemical_formula_sum 'La4 Ti2 Au4'
_symmetry_space_group_name_H-M 'P 4/m b m'
_symmetry_Int_Tables_number 127
_symmetry_space_group_name_Hall '-P 4 2ab'
_cell_length_a 7.4347
_cell_length_b 7.4347
_cell_length_c 4.7003
_cell_angle_alpha 90.00
_cell_angle_beta 90.00
_cell_angle_gamma 90.00
loop_
_atom_site_label
_atom_site_type_symbol
_atom_site_fract_x
_atom_site_fract_y
_atom_site_fract_z
La1 La 0.1682 0.3318 0.0000
Ti1 Ti 0.0000 0.0000 0.5000
Au1 Au 0.1407 0.6407 0.5000
```

Properties
Energy of formation = -0.414 eV/atom
Fermi-level density of states = 7.199 states/eV/f.u.
Crystal system = tetragonal

***

# 6
A relaxed structure of Ce6GaTc5, computed with PBE.

Cell and atoms, written as CIF:
```
data_Ce6GaTc5
_chemical_formula_sum 'Ce6 Ga1 Tc5'
_symmetry_space_group_name_H-M 'P 1 2/m 1'
_symmetry_Int_Tables_number 10
_symmetry_space_group_name_Hall '-P 2y'
_cell_length_a 5.3145
_cell_length_b 8.1622
_cell_length_c 6.3103
_cell_angle_alpha 90.00
_cell_angle_beta 114.81
_cell_angle_gamma 90.00
loop_
_atom_site_label
_atom_site_type_symbol
_atom_site_fract_x
_atom_site_fract_y
_atom_site_fract_z
Ce1 Ce 0.0000 0.2193 0.0000
Ce2 Ce 0.3210 0.2756 0.6412
Ga1 Ga 0.5000 0.0000 0.0000
Tc1 Tc 0.1201 0.5000 0.2411
Tc2 Tc 0.1939 0.0000 0.3878
Tc3 Tc 0.5000 0.5000 0.0000
```

Properties
Energy of formation = -0.104 eV/atom
Fermi-level density of states = 13.808 states/eV/f.u.
Crystal system = monoclinic

***

# 7
A relaxed structure of NpNiRu, computed with PBE.

Cell and atoms, written as CIF:
```
data_NpNiRu
_chemical_formula_sum 'Np1 Ni1 Ru1'
_symmetry_space_group_name_H-M 'P 3 m 1'
_symmetry_Int_Tables_number 156
_symmetry_space_group_name_Hall 'P 3 -2"'
_cell_length_a 4.4680
_cell_length_b 4.4680
_cell_length_c 2.6642
_cell_angle_alpha 90.00
_cell_angle_beta 90.00
_cell_angle_gamma 120.00
loop_
_atom_site_label
_atom_site_type_symbol
_atom_site_fract_x
_atom_site_fract_y
_atom_site_fract_z
Np1 Np 0.0000 0.0000 0.0000
Ni1 Ni 0.6667 0.3333 0.5399
Ru1 Ru 0.3333 0.6667 0.6009
```

Properties
Energy of formation = 0.225 eV/atom
Fermi-level density of states = 6.420 states/eV/f.u.
Crystal system = trigonal
E above lowest polymorph = 1.10 eV per formula unit

***

# 8
A relaxed structure of LaGaPd3, computed with PBE.

Cell and atoms, written as CIF:
```
data_LaGaPd3
_chemical_formula_sum 'La1 Ga1 Pd3'
_symmetry_space_group_name_H-M 'P m -3 m'
_symmetry_Int_Tables_number 221
_symmetry_space_group_name_Hall '-P 4 2 3'
_cell_length_a 4.7636
_cell_length_b 4.7636
_cell_length_c 4.7636
_cell_angle_alpha 90.00
_cell_angle_beta 90.00
_cell_angle_gamma 90.00
loop_
_atom_site_label
_atom_site_type_symbol
_atom_site_fract_x
_atom_site_fract_y
_atom_site_fract_z
La1 La 0.0000 0.0000 0.0000
Ga1 Ga 0.5000 0.5000 0.5000
Pd1 Pd 0.0000 0.5000 0.5000
```

Properties
Energy of formation = -0.508 eV/atom
Fermi-level density of states = 3.125 states/eV/f.u.
Crystal system = cubic
E above lowest polymorph = 1.17 eV per formula unit

***

- The highest energy of formation belongs to which entry?
  Ga3Fe8

***

- Look up the energy of formation of the first one.
  0.457 eV/atom

***

- Which of these has the lowest Fermi-level density of states?
  ScZn2B2Rh5